# 1
Dy3Y2Tm2Ni2Te2 | PBE-GGA | relaxed

## Properties
Space-group type   Imm2, No. 44

Lattice parameters (Å, degrees): 9.335 9.335 9.335 156.28 66.89 118.48
Atoms (fractional coordinates):
Dy 0.000 0.000 0.000
Dy 0.305 0.620 0.686
Dy 0.934 0.620 0.314
Y 0.288 0.419 0.869
Y 0.550 0.419 0.131
Tm 0.624 0.271 0.353
Tm 0.918 0.271 0.647
Ni 0.164 0.928 0.236
Ni 0.691 0.928 0.764
Te 0.265 0.765 0.500
Te 0.666 0.666 0.000

# 2
Dy4YTm2Ni2Te2 | PBE-GGA | relaxed

## Properties
Space-group type   Imm2, No. 44

Lattice parameters (Å, degrees): 9.334 9.334 9.334 156.23 66.64 118.78
Atoms (fractional coordinates):
Dy 0.147 0.000 0.147
Dy 0.167 0.352 0.815
Dy 0.537 0.352 0.185
Dy 0.853 0.000 0.853
Y 0.232 0.732 0.500
Tm 0.515 0.148 0.367
Tm 0.782 0.148 0.633
Ni 0.399 0.659 0.740
Ni 0.920 0.659 0.260
Te 0.499 0.499 0.000
Te 0.892 0.392 0.500

# 3
Dy3Y2Tm2Ni2Te2 | PBE-GGA | relaxed

## Properties
Space-group type   Imm2, No. 44

Lattice parameters (Å, degrees): 9.324 9.324 9.324 156.20 66.91 118.51
Atoms (fractional coordinates):
Dy 0.000 0.000 0.000
Dy 0.284 0.417 0.867
Dy 0.550 0.417 0.133
Y 0.621 0.268 0.353
Y 0.915 0.268 0.647
Tm 0.304 0.619 0.685
Tm 0.934 0.619 0.315
Ni 0.168 0.930 0.238
Ni 0.692 0.930 0.762
Te 0.263 0.763 0.500
Te 0.664 0.664 0.000

# 4
Dy4YTm2Ni2Te2 | PBE-GGA | relaxed

## Properties
Space-group type   Imm2, No. 44

Lattice parameters (Å, degrees): 9.355 9.355 9.355 156.26 66.91 118.48
Atoms (fractional coordinates):
Dy 0.132 0.000 0.132
Dy 0.204 0.850 0.353
Dy 0.497 0.850 0.647
Dy 0.868 0.000 0.868
Y 0.582 0.582 0.000
Tm 0.517 0.201 0.315
Tm 0.886 0.201 0.685
Ni 0.272 0.510 0.762
Ni 0.749 0.510 0.238
Te 0.246 0.246 0.000
Te 0.846 0.346 0.500

# 5
Dy2YTm4Ni2Te2 | PBE-GGA | relaxed

## Properties
Space-group type   Imm2, No. 44

Lattice parameters (Å, degrees): 9.316 9.316 9.316 156.22 66.92 118.48
Atoms (fractional coordinates):
Dy 0.132 0.000 0.132
Dy 0.868 0.000 0.868
Y 0.582 0.582 0.000
Tm 0.204 0.852 0.353
Tm 0.499 0.852 0.647
Tm 0.516 0.202 0.315
Tm 0.887 0.202 0.685
Ni 0.272 0.510 0.763
Ni 0.747 0.510 0.237
Te 0.247 0.247 0.000
Te 0.846 0.346 0.500

# 6
DyY4Tm2Ni2Te2 | PBE-GGA | relaxed

## Properties
Space-group type   Imm2, No. 44

Lattice parameters (Å, degrees): 9.351 9.351 9.351 156.27 67.19 118.18
Atoms (fractional coordinates):
Dy 0.000 0.000 0.000
Y 0.289 0.420 0.869
Y 0.307 0.621 0.685
Y 0.551 0.420 0.131
Y 0.936 0.621 0.315
Tm 0.626 0.273 0.353
Tm 0.920 0.273 0.647
Ni 0.162 0.926 0.236
Ni 0.690 0.926 0.764
Te 0.264 0.764 0.500
Te 0.667 0.667 0.000

| no. | density (kg/m³) | E above lowest polymorph (meV/atom) | final energy (eV/cell) |
| --- | --- | --- | --- |
| 1 | 8006 | 10 | -60.53 |
| 2 | 8442 | 7 | -58.72 |
| 3 | 8011 | 0 | -60.64 |
| 4 | 8373 | 0 | -58.80 |
| 5 | 8541 | 2 | -58.55 |
| 6 | 7088 | 13 | -64.25 |